Here is a relaxed AgAu2Br crystal from Alexandria. Energies are from PBE.

Output
formation energy (no corrections) = 87.3 kJ/mol of formula units
energy relative to the lowest polymorph listed for this composition = 192.5 meV/atom

```
AgAu2Br
1.0
-10.339 0.141 -1.609
-9.668 -2.264 -3.301
-10.134 -2.587 -0.339
Br Au Ag
1 2 1
direct
0.250 0.250 0.250
0.491 0.491 0.491
0.009 0.009 0.009
0.750 0.750 0.750
```

***

Here is a relaxed CoCuSe4 crystal from Alexandria. Energies are from PBE.

Output
formation energy (no corrections) = -87.4 kJ/mol of formula units
energy relative to the lowest polymorph listed for this composition = 0.0 meV/atom

```
CoCuSe4
1.0
-2.523 -2.331 -3.488
4.057 -5.167 0.517
-4.110 -2.746 4.809
Cu Se Co
2 8 2
direct
0.000 0.500 0.134
0.500 0.500 0.634
0.284 0.819 0.102
0.793 0.715 0.399
0.716 0.181 0.102
0.784 0.181 0.602
0.707 0.715 0.899
0.293 0.285 0.899
0.216 0.819 0.602
0.207 0.285 0.399
0.000 0.000 0.865
0.500 0.000 0.365
```

***

Here is a relaxed Ti2ZnO4 crystal from Alexandria. Energies are from PBE.

Output
formation energy (no corrections) = -1654.8 kJ/mol of formula units
energy relative to the lowest polymorph listed for this composition = 15.4 meV/atom

```
Ti2ZnO4
1.0
1.477 7.261 -0.016
-1.477 7.261 -0.016
0.000 6.395 7.357
O Ti Zn
8 4 2
direct
0.462 0.462 0.227
0.170 0.170 0.151
0.789 0.789 0.569
0.147 0.147 0.895
0.830 0.830 0.849
0.538 0.538 0.773
0.853 0.853 0.105
0.211 0.211 0.431
0.360 0.360 0.961
0.154 0.154 0.689
0.640 0.640 0.039
0.846 0.846 0.311
0.608 0.608 0.393
0.392 0.392 0.607
```

***

Here is a relaxed CuAgPt2 crystal from Alexandria. Energies are from PBE.

Output
energy relative to the lowest polymorph listed for this composition = 178.0 meV/atom

```
CuAgPt2
1.0
-3.768 1.098 -3.741
-4.437 -3.105 -0.264
3.143 3.473 2.731
Pt Ag Cu
2 1 1
direct
0.758 0.258 0.500
0.009 0.009 0.000
0.490 0.490 0.000
0.242 0.742 0.500
```

***

Here is a relaxed Rb2Ag5Au5 crystal from Alexandria. Energies are from PBE.

Output
VASP energy = -0.2076 Ry/atom

```
Rb2Ag5Au5
1.0
-3.946 1.926 1.043
-2.798 -5.123 -1.125
1.228 -2.847 9.907
Au Rb Ag
5 2 5
direct
0.000 0.500 0.333
0.000 0.500 0.667
0.000 0.000 0.164
0.500 0.000 0.000
0.000 0.000 0.836
0.000 0.000 0.500
0.000 0.500 0.000
0.500 0.500 0.500
0.500 0.750 0.750
0.500 0.750 0.250
0.500 0.250 0.750
0.500 0.250 0.250
```

***

Here is a relaxed CeCd3Pt8 crystal from Alexandria. Energies are from PBE.

Output
energy relative to the lowest polymorph listed for this composition = 42.9 meV/atom

```
CeCd3Pt8
1.0
-2.358 -4.397 2.112
4.227 2.277 2.511
-5.439 5.094 4.536
Pt Cd Ce
8 3 1
direct
0.333 0.667 0.500
0.164 0.328 0.252
0.164 0.836 0.252
0.994 0.497 0.749
0.503 0.006 0.749
0.503 0.497 0.749
0.333 0.667 0.999
0.672 0.836 0.252
0.000 0.000 0.959
0.667 0.333 0.416
0.667 0.333 0.050
0.000 0.000 0.574
```

***

Here is a relaxed Zr6HN2O crystal from Alexandria. Energies are from PBE.

Output
VASP energy = -0.6556 Ry/atom

```
Zr6HN2O
1.0
5.693 0.001 0.000
2.848 4.930 -0.001
2.846 1.643 5.257
O Zr N H
1 6 2 1
direct
0.328 0.328 0.017
0.101 0.401 0.748
0.252 0.912 0.251
0.401 0.751 0.748
0.586 0.251 0.251
0.912 0.586 0.251
0.751 0.101 0.748
0.999 0.999 0.002
0.505 0.505 0.486
0.829 0.828 0.515
```

***

Here is a relaxed ThScZn crystal from Alexandria. Energies are from PBE.

Output
energy relative to the lowest polymorph listed for this composition = 132.4 meV/atom

```
ThScZn
1.0
-2.274 -1.379 -2.691
3.753 -0.425 -2.953
-1.206 -3.636 2.883
Zn Th Sc
1 1 1
direct
0.167 0.333 0.667
0.667 0.667 0.333
0.166 0.000 0.000
```